[1]
Computed, not measured: a relaxed structure of ScSbRu2 at the PBEsol level of DFT.

Computed properties:
The crystal system is tetragonal. The value obtained for the raw formation energy is -2.091 eV/f.u. The density of states at the Fermi level is 0.62 states/eV/f.u. The calculation puts the volume at 15.795 A^3/atom.

Cell lengths 4.4048, 4.4048, 3.2564 Å; angles 90.00, 90.00, 90.00 degrees
Closest atoms and distances in Å follow each position.
Space group P4/mmm (No. 123)
Unique sites:
Sc  0.0000  0.0000  0.0000 x1  8 Ru 2.74
Sb  0.5000  0.5000  0.0000 x1  8 Ru 2.74
Ru  0.0000  0.5000  0.5000 x2  4 Sb 2.74, 4 Sc 2.74

---

[2]
Computed, not measured: a relaxed structure of CdNi2Te at the PBEsol level of DFT.

Computed properties:
The crystal system is orthorhombic. The value obtained for the raw formation energy is 0.524 eV/f.u. The density of states at the Fermi level is 2.48 states/eV/f.u. The calculation puts the volume at 16.616 A^3/atom.

Cell lengths 3.0339, 4.1222, 10.6292 Å; angles 90.00, 90.00, 90.00 degrees
Closest atoms and distances in Å follow each position.
Space group Imm2 (No. 44)
Unique sites:
Cd  0.0000  0.0000  0.0000 x2  6 Ni 2.59-2.70
Ni  0.0000  0.0000  0.5356 x2  2 Te 2.58, 4 Cd 2.59, 2 Ni 2.61
Ni  0.0000  0.5000  0.8359 x2  2 Ni 2.61, 2 Cd 2.70, 4 Te 2.79
Te  0.0000  0.5000  0.2325 x2  6 Ni 2.58-2.79

---

[3]
Computed, not measured: a relaxed structure of In2SiRh at the PBEsol level of DFT.

Computed properties:
The crystal system is tetragonal. The value obtained for the raw formation energy is 0.377 eV/f.u. The density of states at the Fermi level is 1.42 states/eV/f.u. The calculation puts the volume at 17.452 A^3/atom.

Cell lengths 4.1738, 4.1738, 8.0145 Å; angles 90.00, 90.00, 90.00 degrees
Closest atoms and distances in Å follow each position.
Space group I4/mmm (No. 139)
Unique sites:
In  0.0000  0.5000  0.2500 x4  4 Rh 2.89, 4 Si 2.89, 4 In 2.95
Si  0.0000  0.0000  0.0000 x2  8 In 2.89, 4 Rh 2.95
Rh  0.0000  0.0000  0.5000 x2  8 In 2.89, 4 Si 2.95

---

[4]
Computed, not measured: a relaxed structure of LiSc2Ru at the PBEsol level of DFT.

Computed properties:
As for the energy above the most stable polymorph in this dataset: 0.000 eV per atom. The crystal system is cubic. The calculated formation energy is -323 meV/atom. The density of states at the Fermi level is 2.74 states/eV/f.u. The calculation puts the volume at 16.824 A^3/atom.

Cell lengths 6.4568, 6.4568, 6.4568 Å; angles 90.00, 90.00, 90.00 degrees
Closest atoms and distances in Å follow each position.
Space group Fm-3m (No. 225)
Unique sites:
Li  0.0000  0.0000  0.0000 x4  8 Sc 2.80
Sc  0.2500  0.2500  0.2500 x8  4 Li 2.80, 4 Ru 2.80
Ru  0.0000  0.0000  0.5000 x4  8 Sc 2.80

---

[5]
Computed, not measured: a relaxed structure of GdAl3C3 at the PBEsol level of DFT.

Computed properties:
The crystal system is hexagonal. The calculated formation energy is -295 meV/atom. The density of states at the Fermi level is 0.32 states/eV/f.u. The calculation puts the volume at 12.544 A^3/atom.

Cell lengths 3.4255, 3.4255, 17.2812 Å; angles 90.00, 90.00, 120.00 degrees
Closest atoms and distances in Å follow each position.
Space group P6_3/mmc (No. 194)
Unique sites:
Gd  0.0000  0.0000  0.0000 x2  6 C 2.56
Al  0.3333  0.6667  0.1339 x4  4 C 2.01-2.10
Al  0.3333  0.6667  0.7500 x2  3 C 1.98
C  0.3333  0.6667  0.2500 x2  5 Al 1.98-2.01
C  0.3333  0.6667  0.5936 x4  3 Al 2.10

---

[6]
Computed, not measured: a relaxed structure of Mg3Ta at the PBEsol level of DFT.

Computed properties:
The crystal system is hexagonal. The calculated formation energy is 202 meV/atom. The density of states at the Fermi level is 3.27 states/eV/f.u. The calculation puts the volume at 19.909 A^3/atom.

Cell lengths 3.0054, 3.0054, 10.1803 Å; angles 90.00, 90.00, 120.00 degrees
Closest atoms and distances in Å follow each position.
Space group P-6m2 (No. 187)
Unique sites:
Mg  0.0000  0.0000  0.0000 x1  12 Mg 3.01-3.14
Mg  0.6667  0.3333  0.2568 x2  9 Mg 3.01-3.14, 3 Ta 3.02
Ta  0.0000  0.0000  0.5000 x1  6 Ta 3.01, 6 Mg 3.02

---

[7]
Computed, not measured: a relaxed structure of GaCo2Pb at the PBEsol level of DFT.

Computed properties:
The crystal system is cubic. The calculated formation energy is 233 meV/atom. The density of states at the Fermi level is 1.76 states/eV/f.u. The calculation puts the volume at 14.070 A^3/atom.

Cell lengths 6.0833, 6.0833, 6.0833 Å; angles 90.00, 90.00, 90.00 degrees
Closest atoms and distances in Å follow each position.
Space group Fm-3m (No. 225)
Unique sites:
Ga  0.0000  0.0000  0.0000 x4  8 Co 2.63
Co  0.2500  0.2500  0.2500 x8  4 Pb 2.63, 4 Ga 2.63
Pb  0.0000  0.0000  0.5000 x4  8 Co 2.63

---

[8]
Computed, not measured: a relaxed structure of RbZr3B at the PBEsol level of DFT.

Computed properties:
The crystal system is cubic. The calculated formation energy is 2770 meV/atom. The density of states at the Fermi level is 8.03 states/eV/f.u. The calculation puts the volume at 22.878 A^3/atom.

Cell lengths 4.8543, 4.8543, 4.8543 Å; angles 90.00, 90.00, 90.00 degrees
Closest atoms and distances in Å follow each position.
Space group Pm-3m (No. 221)
Unique sites:
Rb  0.0000  0.0000  0.0000 x1  6 Zr 2.43
Zr  0.0000  0.0000  0.5000 x3  2 Rb 2.43
B  0.5000  0.5000  0.5000 x1  12 Zr 3.43

---

[9]
Computed, not measured: a relaxed structure of LaRu3 at the PBEsol level of DFT.

Computed properties:
The crystal system is cubic. The calculated formation energy is 530 meV/atom. The density of states at the Fermi level is 5.92 states/eV/f.u. The calculation puts the volume at 16.922 A^3/atom.

Cell lengths 6.4693, 6.4693, 6.4693 Å; angles 90.00, 90.00, 90.00 degrees
Closest atoms and distances in Å follow each position.
Space group Fm-3m (No. 225)
Unique sites:
La  0.0000  0.0000  0.0000 x4  8 Ru 2.80
Ru  0.0000  0.0000  0.5000 x4  8 Ru 2.80
Ru  0.2500  0.2500  0.2500 x8  4 Ru 2.80, 4 La 2.80

---

[10]
Computed, not measured: a relaxed structure of Cd3As2O8 at the PBEsol level of DFT.

Computed properties:
The crystal system is monoclinic. The value obtained for the raw formation energy is -15.802 eV/f.u. The calculation puts the volume at 14.196 A^3/atom.

Cell lengths 9.2819, 12.0897, 6.6468 Å; angles 90.00, 98.24, 90.00 degrees
Closest atoms and distances in Å follow each position.
Space group P2_1/c (No. 14)
Unique sites:
Cd  0.0507  0.1168  0.1546 x4  6 O 2.21-2.47
Cd  0.2818  0.0789  0.6648 x4  4 O 2.12-2.33
Cd  0.3546  0.6922  0.6317 x4  5 O 2.19-2.33
As  0.0804  0.6360  0.8918 x4  4 O 1.71-1.72
As  0.3935  0.0874  0.1855 x4  4 O 1.71-1.73
O  0.0804  0.2046  0.6000 x4  1 As 1.71
O  0.0817  0.5663  0.6668 x4  1 As 1.72
O  0.1180  0.5622  0.1130 x4  1 As 1.71
O  0.2106  0.7359  0.8758 x4  1 As 1.72
O  0.2620  0.0766  0.9790 x4  1 As 1.71
O  0.2902  0.1339  0.3619 x4  1 As 1.71
O  0.4713  0.5400  0.7513 x4  1 As 1.73
O  0.4747  0.6819  0.3467 x4  1 As 1.71

---

[11]
Computed, not measured: a relaxed structure of SbSe2Cl at the PBEsol level of DFT.

Computed properties:
As for the energy above the most stable polymorph in this dataset: 0.091 eV per atom. The crystal system is trigonal. The value obtained for the raw formation energy is -0.459 eV/f.u. The density of states at the Fermi level is 2.12 states/eV/f.u. The calculation puts the volume at 23.721 A^3/atom.

Cell lengths 3.8715, 3.8715, 21.9288 Å; angles 90.00, 90.00, 120.00 degrees
Closest atoms and distances in Å follow each position.
Space group R-3m (No. 166, hexagonal axes)
Unique sites:
Sb  0.0000  0.0000  0.0000 x3  6 Se 2.77
Se  0.0000  0.0000  0.2586 x6  3 Sb 2.77, 3 Cl 3.01
Cl  0.0000  0.0000  0.5000 x3  6 Se 3.01

---

[12]
Computed, not measured: a relaxed structure of Be2Au at the PBEsol level of DFT.

Computed properties:
The crystal system is orthorhombic. The calculated formation energy is -135 meV/atom. The density of states at the Fermi level is 0.60 states/eV/f.u. The calculation puts the volume at 11.202 A^3/atom.

Cell lengths 3.4486, 11.2183, 3.4747 Å; angles 90.00, 90.00, 90.00 degrees
Closest atoms and distances in Å follow each position.
Space group Cmcm (No. 63)
Unique sites:
Be  0.0000  0.0754  0.2500 x4  6 Be 2.42-2.62, 6 Au 2.47-2.64
Be  0.0000  0.2490  0.7500 x4  4 Au 2.38-2.41, 8 Be 2.45-2.62
Au  0.0000  0.3973  0.2500 x4  10 Be 2.38-2.64

---

volume of number 11 (SbSe2Cl)?
23.721 A^3/atom

---

Look up the volume of the fifth one.
12.544 A^3/atom